Cr2OsAu: optimized geometry, PBE.

The formation energy is 1.01 eV/f.u. For the total energy, the calculation gives -8.19 eV/atom. The value obtained for the volume is 56.2 Å³/f.u. As for the crystal system: tetragonal.

The structure belongs to space group P4/mmm (No. 123); the cell edges are 2.696, 2.696 and 7.728 Å and the angles 90.00°, 90.00° and 90.00°. The distinct sites, in fractional coordinates, are Cr at (0.000, 0.000, 0.229), Os at (0.500, 0.500, 0.000) and Au at (0.500, 0.500, 0.500).